No. 1
Sm2Ho3Cd2: optimized geometry, GGA-PBE.

Output
volume	206.25	Å³/f.u.
relative energy among the computed polymorphs	31.1	kJ/mol of formula units
D(E_F)	16.47	states/eV per cell
energy of formation	-0.1003	eV/atom

Lattice parameters (Å, degrees): 3.5714 32.6904 3.5331 90.00 90.00 90.00
Closest atoms and distances in Å follow each position.
Space group Cmmm (No. 65)
Symmetry-distinct sites (fractional):
Sm (0.0000, 0.2027, 0.0000)  4 Cd 3.31, 6 Sm 3.53-3.57
Ho (0.0000, 0.0749, 0.0000)  4 Cd 3.23, 8 Ho 3.51-3.57
Ho (0.0000, 0.5000, 0.5000)  12 Ho 3.51-3.57
Cd (0.0000, 0.3630, 0.5000)  4 Ho 3.23, 4 Sm 3.31, 4 Cd 3.53-3.57

No. 2
SmHo4Cd5: optimized geometry, GGA-PBE.

Output
volume	262.79	Å³/f.u.
D(E_F)	11.16	states/eV per cell
energy of formation	-0.3157	eV/atom

Lattice parameters (Å, degrees): 3.7374 3.7374 18.8140 90.00 90.00 90.00
Closest atoms and distances in Å follow each position.
Space group P4/mmm (No. 123)
Symmetry-distinct sites (fractional):
Sm (0.0000, 0.0000, 0.0000)  8 Cd 3.31
Ho (0.0000, 0.0000, 0.2034)  8 Cd 3.21-3.23
Ho (0.0000, 0.0000, 0.4013)  8 Cd 3.23-3.24
Cd (0.5000, 0.5000, 0.1062)  4 Ho 3.21, 4 Sm 3.31
Cd (0.5000, 0.5000, 0.3022)  8 Ho 3.23-3.24
Cd (0.5000, 0.5000, 0.5000)  8 Ho 3.23

No. 3
Sm3Ho4Cd2: optimized geometry, GGA-PBE.

Output
volume	266.49	Å³/f.u.
D(E_F)	22.26	states/eV per cell
energy of formation	-0.0724	eV/atom

Lattice parameters (Å, degrees): 14.7439 4.8946 7.7905 90.00 108.56 90.00
Closest atoms and distances in Å follow each position.
Space group C2/m (No. 12)
Symmetry-distinct sites (fractional):
Sm (0.0000, 0.0000, 0.0000)  6 Ho 3.42-3.47, 4 Cd 3.46, 2 Sm 3.50
Sm (0.1141, 0.0000, 0.6691)  7 Ho 3.43-3.56, 3 Cd 3.44-3.46, 2 Sm 3.50-3.55
Ho (0.0573, 0.5000, 0.3334)  2 Cd 3.46-3.49, 4 Ho 3.47-3.52, 6 Sm 3.47-3.51
Ho (0.2216, 0.0000, 0.3197)  3 Cd 3.40, 4 Sm 3.42-3.56, 5 Ho 3.47-3.62
Cd (0.1662, 0.5000, 0.0005)  5 Ho 3.40-3.49, 5 Sm 3.44-3.46, 2 Cd 3.48

No. 4
SmHo3Cd6: optimized geometry, GGA-PBE.

Output
volume	253.28	Å³/f.u.
D(E_F)	15.42	states/eV per cell
energy of formation	-0.2862	eV/atom

Lattice parameters (Å, degrees): 9.1828 5.1752 11.0885 90.00 105.99 90.00
Closest atoms and distances in Å follow each position.
Space group P2_1/m (No. 11)
Symmetry-distinct sites (fractional):
Sm (0.0580, 0.2500, 0.3902)  8 Cd 3.14-3.33
Ho (0.2394, 0.2500, 0.9988)  8 Cd 3.12-3.29
Ho (0.3513, 0.7500, 0.7974)  8 Cd 3.13-3.27
Ho (0.4712, 0.2500, 0.6071)  8 Cd 3.11-3.37
Cd (0.0533, 0.7500, 0.9043)  4 Ho 3.12-3.27, 3 Cd 3.12-3.18, 1 Sm 3.14
Cd (0.1443, 0.7500, 0.1970)  8 Cd 3.12-3.31
Cd (0.1572, 0.2500, 0.6966)  4 Ho 3.17-3.30, 3 Sm 3.24-3.27, 1 Cd 3.29
Cd (0.2478, 0.7500, 0.5034)  4 Ho 3.13-3.31, 3 Sm 3.18-3.33, 1 Cd 3.27
Cd (0.3476, 0.2500, 0.2918)  5 Ho 3.11-3.37, 1 Sm 3.14, 2 Cd 3.19
Cd (0.4515, 0.7500, 0.0960)  7 Ho 3.17-3.29, 1 Cd 3.31

Question: What is the formula in the second record?
Answer: SmHo4Cd5

Question: volume of number 3 (Sm3Ho4Cd2)?
Answer: 266.49 Å³/f.u.

Question: volume of number 4 (SmHo3Cd6)?
Answer: 253.28 Å³/f.u.

Question: Which of these has the highest volume?
Answer: Sm3Ho4Cd2